The following is a DFT calculation (PBE) of a relaxed structure of BaNdIn.

For the density of states at the Fermi level, the calculation gives 0.5574 states/eV per atom. Its formation energy is -0.24 eV/atom.

The space group is P-3m1 (No. 164) and the conventional cell measures 5.4801, 5.4801 and 9.1349 Å, with angles of 90.00, 90.00 and 120.00 degrees. The distinct sites, in fractional coordinates, are Ba at (0.3333, 0.6667, 0.3600), Nd at (0.3333, 0.6667, 0.9121) and In at (0.0000, 0.0000, 0.1683).

The following is a DFT calculation (PBE) of a relaxed structure of Cs2Zr3Se8.

For the density of states at the Fermi level, the calculation gives 0.6570 states/eV per atom.

The space group is C2/m (No. 12) and the conventional cell measures 18.4007, 7.7402 and 6.7001 Å, with angles of 90.00, 105.57 and 90.00 degrees. The distinct sites, in fractional coordinates, are Cs at (0.2441, 0.0000, 0.1902), Zr at (0.0000, 0.2421, 0.5000), Zr at (0.0000, 0.5000, 0.0000), Se at (0.0890, 0.0000, 0.4172), Se at (0.0888, 0.5000, 0.3938) and Se at (0.0903, 0.2694, 0.8882).

The following is a DFT calculation (PBE) of a relaxed structure of TcBF3.

For the density of states at the Fermi level, the calculation gives 0.8684 states/eV per atom.

The space group is Pm-3m (No. 221) and the conventional cell measures 4.2138, 4.2138 and 4.2138 Å, with angles of 90.00, 90.00 and 90.00 degrees. The distinct sites, in fractional coordinates, are Tc at (0.0000, 0.0000, 0.0000), B at (0.5000, 0.5000, 0.5000) and F at (0.0000, 0.0000, 0.5000).

The following is a DFT calculation (PBE) of a relaxed structure of SrBeW2.

For the density of states at the Fermi level, the calculation gives 0.4524 states/eV per atom. Its formation energy is 0.83 eV/atom.

The space group is P4mm (No. 99) and the conventional cell measures 2.7822, 2.7822 and 9.0849 Å, with angles of 90.00, 90.00 and 90.00 degrees. The distinct sites, in fractional coordinates, are Sr at (0.0000, 0.0000, 0.0000), Be at (0.5000, 0.5000, 0.7338), W at (0.0000, 0.0000, 0.5583) and W at (0.5000, 0.5000, 0.3093).

The following is a DFT calculation (PBE) of a relaxed structure of AlTlCd.

For the density of states at the Fermi level, the calculation gives 0.4025 states/eV per atom. Its formation energy is 0.15 eV/atom.

The space group is P2_1/m (No. 11) and the conventional cell measures 6.4436, 3.3103 and 6.8788 Å, with angles of 90.00, 93.18 and 90.00 degrees. The distinct sites, in fractional coordinates, are Al at (0.1704, 0.2500, 0.0131), Tl at (0.4278, 0.7500, 0.7344) and Cd at (0.1104, 0.7500, 0.3559).

The following is a DFT calculation (PBE) of a relaxed structure of Er12Al3O5.

For the density of states at the Fermi level, the calculation gives 0.6331 states/eV per atom.

The space group is Ia-3d (No. 230) and the conventional cell measures 15.2113, 15.2113 and 15.2113 Å, with angles of 90.00, 90.00 and 90.00 degrees. The distinct sites, in fractional coordinates, are Er at (0.0382, 0.0521, 0.6488), Al at (0.0000, 0.2500, 0.1250), O at (0.0000, 0.0000, 0.0000) and O at (0.0000, 0.2500, 0.3750).

The following is a DFT calculation (PBE) of a relaxed structure of AcPmCd6.

For the density of states at the Fermi level, the calculation gives 0.4751 states/eV per atom. Its formation energy is -0.27 eV/atom.

The space group is Pmm2 (No. 25) and the conventional cell measures 5.2883, 7.4052 and 5.2908 Å, with angles of 90.00, 90.00 and 90.00 degrees. The distinct sites, in fractional coordinates, are Ac at (0.0000, 0.0000, 0.0000), Pm at (0.5000, 0.5000, 0.4986), Cd at (0.0000, 0.2652, 0.5001), Cd at (0.0000, 0.5000, 0.0000), Cd at (0.5000, 0.0000, 0.4992) and Cd at (0.5000, 0.2652, 0.9986).

The following is a DFT calculation (PBE) of a relaxed structure of Ac2Al3Pt12Rh.

For the density of states at the Fermi level, the calculation gives 0.5993 states/eV per atom. Its formation energy is -0.40 eV/atom.

The space group is R-3m (No. 166, hexagonal axes) and the conventional cell measures 8.0772, 8.0772 and 20.1082 Å, with angles of 90.00, 90.00 and 120.00 degrees. The distinct sites, in fractional coordinates, are Ac at (0.0000, 0.0000, 0.1244), Al at (0.0000, 0.5000, 0.0000), Pt at (0.0045, 0.5022, 0.8789), Pt at (0.0060, 0.5030, 0.3729) and Rh at (0.0000, 0.0000, 0.5000).

The following is a DFT calculation (PBE) of a relaxed structure of SrEr2O4.

For the density of states at the Fermi level, the calculation gives 0.0000 states/eV per atom.

The space group is Pm (No. 6) and the conventional cell measures 5.8810, 3.2430 and 7.3134 Å, with angles of 90.00, 91.76 and 90.00 degrees. The distinct sites, in fractional coordinates, are Sr at (0.0000, 0.0000, 0.0000), Er at (0.4514, 0.5000, 0.2848), Er at (0.9623, 0.5000, 0.4991), O at (0.2335, 0.0000, 0.4010), O at (0.2730, 0.5000, 0.0433), O at (0.7320, 0.0000, 0.3017) and O at (0.9107, 0.0000, 0.6830).

The following is a DFT calculation (PBE) of a relaxed structure of Pm3Cu4Ag2.

For the density of states at the Fermi level, the calculation gives 0.5959 states/eV per atom. Its formation energy is -0.18 eV/atom.

The space group is C2/m (No. 12) and the conventional cell measures 9.9289, 4.3703 and 8.7560 Å, with angles of 90.00, 97.46 and 90.00 degrees. The distinct sites, in fractional coordinates, are Pm at (0.0000, 0.0000, 0.0000), Pm at (0.1263, 0.5000, 0.3760), Cu at (0.0761, 0.0000, 0.6268), Cu at (0.2208, 0.5000, 0.0724) and Ag at (0.1855, 0.5000, 0.7670).

The following is a DFT calculation (PBE) of a relaxed structure of PrNd3Th4S8.

For the density of states at the Fermi level, the calculation gives 0.3709 states/eV per atom.

The space group is R-3m (No. 166, hexagonal axes) and the conventional cell measures 8.0587, 8.0587 and 20.1495 Å, with angles of 90.00, 90.00 and 120.00 degrees. The distinct sites, in fractional coordinates, are Pr at (0.0000, 0.0000, 0.0000), Nd at (0.0000, 0.5000, 0.0000), Th at (0.0000, 0.0000, 0.5000), Th at (0.0000, 0.5000, 0.5000), S at (0.0000, 0.0000, 0.2501) and S at (0.0013, 0.5007, 0.2498).

The following is a DFT calculation (PBE) of a relaxed structure of ZrTlSe2.

For the density of states at the Fermi level, the calculation gives 0.6519 states/eV per atom.

The space group is Cm (No. 8) and the conventional cell measures 16.7315, 3.5133 and 3.7291 Å, with angles of 90.00, 102.83 and 90.00 degrees. The distinct sites, in fractional coordinates, are Zr at (0.0000, 0.0000, 0.0000), Tl at (0.2558, 0.5000, 0.2574), Se at (0.0716, 0.5000, 0.5713) and Se at (0.3769, 0.0000, 0.8774).

Number 1: size of the total moment 0.00 μB per formula unit, E -3.3801 eV/atom, theoretical density 5.541 g cm⁻³. Number 2: size of the total moment 0.00 μB per formula unit, E -5.4135 eV/atom, theoretical density 4.231 g cm⁻³. Number 3: size of the total moment 2.80 μB per formula unit, E -4.7490 eV/atom, theoretical density 3.680 g cm⁻³. Number 4: size of the total moment 0.00 μB per formula unit, E -6.9960 eV/atom, theoretical density 10.964 g cm⁻³. Number 5: size of the total moment 0.00 μB per formula unit, E -2.1930 eV/atom, theoretical density 7.793 g cm⁻³. Number 6: size of the total moment 0.00 μB per formula unit, E -6.0587 eV/atom, theoretical density 8.183 g cm⁻³. Number 7: size of the total moment 0.00 μB per formula unit, E -2.0651 eV/atom, theoretical density 8.387 g cm⁻³. Number 8: size of the total moment 0.00 μB per formula unit, E -5.9172 eV/atom, theoretical density 13.062 g cm⁻³. Number 9: size of the total moment 0.00 μB per formula unit, E -7.3730 eV/atom, theoretical density 5.790 g cm⁻³. Number 10: size of the total moment 0.00 μB per formula unit, E -4.2134 eV/atom, theoretical density 7.977 g cm⁻³. Number 11: size of the total moment 0.00 μB per formula unit, E -7.0388 eV/atom, theoretical density 7.730 g cm⁻³. Number 12: size of the total moment 0.09 μB per formula unit, E -5.3550 eV/atom, theoretical density 7.047 g cm⁻³.